1.
# Be3CoRe

Crystalline Be3CoRe at its relaxed geometry (PBEsol, Alexandria).

## Properties
Formation energy ... 737 meV per atom
V ... 10.40 Å³ per atom
Magnetization ... 0.03 μB/f.u.
Total energy ... -5.88 eV per atom
DOS at the Fermi energy ... 4.0 states/eV/f.u.
SG ... Pm-3m, No. 221
Distance to the lowest polymorph of the same formula ... 0.000 eV per atom

```
5
Lattice="3.7327 0.0000 0.0000 0.0000 3.7327 0.0000 0.0000 0.0000 3.7327" Properties=species:S:1:pos:R:3 pbc="T T T"
Re 1.8663 1.8663 1.8663
Co 0.0000 0.0000 0.0000
Be 0.0000 1.8663 0.0000
Be 0.0000 0.0000 1.8663
Be 1.8663 0.0000 0.0000
```


2.
# BeCo2Re

Crystalline BeCo2Re at its relaxed geometry (PBEsol, Alexandria).

## Properties
Formation energy ... -26 meV per atom
V ... 10.46 Å³ per atom
Magnetization ... 0.61 μB/f.u.
Total energy ... -8.23 eV per atom
DOS at the Fermi energy ... 3.7 states/eV/f.u.
SG ... P4mm, No. 99

```
4
Lattice="-1.1808 -1.5399 1.8161 0.2136 -2.0875 -1.6311 5.2853 -1.2898 2.3428" Properties=species:S:1:pos:R:3 pbc="T T T"
Re 2.7090 -0.6611 1.2008
Co 5.1344 -1.2530 2.2759
Co 0.7366 -2.1115 0.6334
Be 3.6659 -2.8264 1.9319
```


3.
# Be3CoRe

Crystalline Be3CoRe at its relaxed geometry (PBEsol, Alexandria).

## Properties
Formation energy ... 1482 meV per atom
V ... 14.04 Å³ per atom
Magnetization ... 1.97 μB/f.u.
Total energy ... -5.13 eV per atom
DOS at the Fermi energy ... 7.5 states/eV/f.u.
SG ... Pm-3m, No. 221
Distance to the lowest polymorph of the same formula ... 0.745 eV per atom

```
5
Lattice="4.1247 0.0000 0.0000 0.0000 4.1247 0.0000 0.0000 0.0000 4.1247" Properties=species:S:1:pos:R:3 pbc="T T T"
Re 0.0000 0.0000 0.0000
Co 2.0624 2.0624 2.0624
Be 0.0000 2.0624 0.0000
Be 0.0000 0.0000 2.0624
Be 2.0624 0.0000 0.0000
```


4.
# BeCo2Re

Crystalline BeCo2Re at its relaxed geometry (PBEsol, Alexandria).

## Properties
Formation energy ... -225 meV per atom
V ... 10.36 Å³ per atom
Magnetization ... 0.00 μB/f.u.
Total energy ... -8.43 eV per atom
DOS at the Fermi energy ... 1.8 states/eV/f.u.
SG ... P4/mmm, No. 123

```
4
Lattice="-0.9125 -1.6868 1.7664 2.1821 0.2840 1.3985 -2.5645 4.5994 3.0673" Properties=species:S:1:pos:R:3 pbc="T T T"
Re 0.6348 -0.7014 1.5824
Co -1.8287 3.2797 2.1872
Co -0.7358 1.3197 0.8801
Be -0.6475 1.5983 3.1161
```


5.
# BeCo2Re

Crystalline BeCo2Re at its relaxed geometry (PBEsol, Alexandria).

## Properties
Formation energy ... 423 meV per atom
V ... 11.26 Å³ per atom
Magnetization ... 1.28 μB/f.u.
Total energy ... -7.78 eV per atom
DOS at the Fermi energy ... 3.8 states/eV/f.u.
SG ... I-42d, No. 122

```
8
Lattice="3.3424 0.0000 0.0000 0.0000 3.3424 0.0000 -1.6712 -1.6712 8.0639" Properties=species:S:1:pos:R:3 pbc="T T T"
Re 0.0000 1.6712 4.0319
Re 0.0000 0.0000 0.0000
Co 0.9344 2.5068 2.0160
Co 2.4079 0.8356 2.0160
Co -0.8356 -0.7368 6.0479
Co 0.8356 0.7368 6.0479
Be 1.6712 0.0000 4.0319
Be 1.6712 1.6712 0.0000
```


6.
# BeCoRe

Crystalline BeCoRe at its relaxed geometry (PBEsol, Alexandria).

## Properties
Formation energy ... -289 meV per atom
V ... 10.40 Å³ per atom
Magnetization ... 0.00 μB/f.u.
Total energy ... -8.65 eV per atom
DOS at the Fermi energy ... 2.8 states/eV/f.u.
SG ... Imma, No. 74
Distance to the lowest polymorph of the same formula ... 0.000 eV per atom

```
6
Lattice="4.4157 0.0000 0.0000 2.2079 3.8437 0.0000 2.2079 1.1186 3.6774" Properties=species:S:1:pos:R:3 pbc="T T T"
Re 4.4157 1.1978 2.3118
Re 4.4157 3.7646 1.3655
Co 0.0000 0.0000 0.0000
Co 2.2079 2.4812 1.8387
Be 1.1039 1.9219 0.0000
Be 3.3118 1.9219 0.0000
```


7.
# BeCoRe

Crystalline BeCoRe at its relaxed geometry (PBEsol, Alexandria).

## Properties
Formation energy ... 143 meV per atom
V ... 11.58 Å³ per atom
Magnetization ... 1.25 μB/f.u.
Total energy ... -8.21 eV per atom
DOS at the Fermi energy ... 2.4 states/eV/f.u.
SG ... P3m1, No. 156
Distance to the lowest polymorph of the same formula ... 0.432 eV per atom

```
3
Lattice="-2.5310 0.6168 0.2387 0.6949 -2.4161 -0.7232 0.1292 -1.6464 5.6243" Properties=species:S:1:pos:R:3 pbc="T T T"
Re -1.4125 -0.9448 1.7990
Co -0.2924 -2.5265 3.4283
Be 0.1272 -1.6208 5.5368
```


8.
# BeCo3Rh

Crystalline BeCo3Rh at its relaxed geometry (PBEsol, Alexandria).

## Properties
Formation energy ... 1765 meV per atom
V ... 17.11 Å³ per atom
Magnetization ... 6.50 μB/f.u.
Total energy ... -5.31 eV per atom
DOS at the Fermi energy ... 8.1 states/eV/f.u.
SG ... Pm-3m, No. 221

```
5
Lattice="-3.2675 2.9413 -0.2973 -2.6556 -3.1151 -1.6309 -1.2988 -1.0302 4.0826" Properties=species:S:1:pos:R:3 pbc="T T T"
Co -1.3278 -1.5575 -0.8154
Co -0.6494 -0.5151 2.0413
Co -1.6337 1.4706 -0.1487
Rh 0.0000 0.0000 0.0000
Be -3.6110 -0.6020 1.0772
```